Computed, not measured: a relaxed Li3Ga2 crystal at the GGA-PBEsol level of DFT.

Properties
The magnetic moment is 0.000 μB per cell. As for the calculated formation energy: -342 meV/atom. As for the space group: R-3m, No. 166.

```
data_Li3Ga2
_chemical_formula_sum 'Li3 Ga2'
_symmetry_space_group_name_H-M 'P 1'
_symmetry_Int_Tables_number 1
_symmetry_space_group_name_Hall 'P 1'
_cell_length_a 4.300
_cell_length_b 4.300
_cell_length_c 5.185
_cell_angle_alpha 65.50
_cell_angle_beta 65.50
_cell_angle_gamma 60.00
loop_
_atom_site_label
_atom_site_type_symbol
_atom_site_fract_x
_atom_site_fract_y
_atom_site_fract_z
Li1 Li 0.596 0.596 0.211
Li2 Li 0.000 0.000 0.000
Li3 Li 0.404 0.404 0.789
Ga1 Ga 0.200 0.200 0.399
Ga2 Ga 0.800 0.800 0.601
```